The following is a PBE calculation of SrLi2In3 after structural relaxation, from Alexandria via LeMat-Bulk.

abc: 5.5102 7.4999 7.4999
angles: 100.60 90.00 90.00
Element x y z (fractional)
Li1 0.0000 0.7871 0.2129
Li2 0.0000 0.2129 0.7871
Li3 0.5000 0.2129 0.7871
Li4 0.5000 0.7871 0.2129
In1 0.7500 0.0681 0.0681
In2 0.2500 0.9126 0.5354
In3 0.7500 0.0874 0.4646
In4 0.2500 0.9319 0.9319
In5 0.2500 0.5354 0.9126
In6 0.7500 0.4646 0.0874
Sr1 0.7500 0.6785 0.6785
Sr2 0.2500 0.3215 0.3215

Calculated values
Total DFT energy (no corrections) = -2.62 eV per atom
Space-group type = Cmcm, No. 63
E_form = -32.2 kJ per mole of atoms
Density of states at the Fermi level = 3.888 states/eV/cell